1.
Crystalline FeAgTePd at its relaxed geometry. Source: Alexandria via LeMat-Bulk, functional PBE-GGA.

Lattice parameters (Å, degrees): 3.3060 4.5361 5.2803 108.88 107.97 90.12
Closest atoms and distances in Å follow each position.
Element x y z (fractional)
Pd 0.0269 0.9048 0.8611  2 Fe 2.74-2.75, 3 Te 2.80-2.94, 4 Ag 2.82-2.84
Ag 0.4874 0.3729 0.7818  3 Fe 2.82-2.86, 4 Pd 2.82-2.84, 2 Te 2.98-3.14
Te 0.2721 0.7334 0.3468  4 Fe 2.70-2.94, 3 Pd 2.80-2.94, 1 Ag 2.98
Fe 0.7433 0.2446 0.2932  4 Te 2.70-2.94, 2 Pd 2.74-2.75, 3 Ag 2.82-2.86

Summary:
The calculated volume comes out at 17.7 Å³ per atom. For the formation energy from raw total energies, the calculation gives 0.19 eV/atom. The calculation puts the energy above the lowest structure with this stoichiometry at 56 meV/atom.

2.
Crystalline VH2I at its relaxed geometry. Source: Alexandria via LeMat-Bulk, functional PBE-GGA.

Lattice parameters (Å, degrees): 4.2158 4.2158 4.2158 60.00 60.00 60.00
Closest atoms and distances in Å follow each position.
Element x y z (fractional)
H 0.7500 0.7500 0.7500  4 I 2.58, 4 V 2.58
H 0.2500 0.2500 0.2500  4 I 2.58, 4 V 2.58
I 0.5000 0.5000 0.5000  8 H 2.58
V 0.0000 0.0000 0.0000  8 H 2.58

Summary:
The calculated volume comes out at 13.2 Å³ per atom. The calculation puts the energy above the lowest structure with this stoichiometry at 706 meV/atom.